No. 1
# PBE ZrScPa2N4, optimized geometry
data_ZrScPa2N4
_cell_length_a 5.7829
_cell_length_b 3.3445
_cell_length_c 5.9143
_cell_angle_alpha 90.00
_cell_angle_beta 109.01
_cell_angle_gamma 90.00
_space_group_name_H-M_alt 'P 1 2/m 1'
_space_group_IT_number 10
_space_group_name_Hall '-P 2y'
loop_
_atom_site_label
_atom_site_type_symbol
_atom_site_fract_x
_atom_site_fract_y
_atom_site_fract_z
Zr1 Zr 0.0000 0.0000 0.0000
Sc1 Sc 0.5000 0.5000 0.0000
Pa1 Pa 0.0000 0.5000 0.5000
Pa2 Pa 0.5000 0.0000 0.5000
N1 N 0.2468 0.5000 0.2320
N2 N 0.2578 0.0000 0.7681
# ΔE_f (raw) (eV/atom): -1.69

No. 2
# PBE K3Os2O7, optimized geometry
data_K3Os2O7
_cell_length_a 3.9243
_cell_length_b 22.5406
_cell_length_c 3.9017
_cell_angle_alpha 90.00
_cell_angle_beta 90.00
_cell_angle_gamma 90.00
_space_group_name_H-M_alt 'C m m m'
_space_group_IT_number 65
_space_group_name_Hall '-C 2 2'
loop_
_atom_site_label
_atom_site_type_symbol
_atom_site_fract_x
_atom_site_fract_y
_atom_site_fract_z
K1 K 0.0000 0.0000 0.0000
K2 K 0.0000 0.1805 0.0000
Os1 Os 0.0000 0.4116 0.5000
O1 O 0.0000 0.0872 0.5000
O2 O 0.0000 0.3282 0.5000
O3 O 0.0000 0.4128 0.0000
O4 O 0.0000 0.5000 0.5000
# ΔE_f (raw) (eV/atom): -1.28

No. 3
# PBE KFe2Se, optimized geometry
data_KFe2Se
_cell_length_a 3.9125
_cell_length_b 4.3005
_cell_length_c 5.9792
_cell_angle_alpha 90.00
_cell_angle_beta 101.51
_cell_angle_gamma 90.00
_space_group_name_H-M_alt 'P 1 2/m 1'
_space_group_IT_number 10
_space_group_name_Hall '-P 2y'
loop_
_atom_site_label
_atom_site_type_symbol
_atom_site_fract_x
_atom_site_fract_y
_atom_site_fract_z
K1 K 0.0000 0.0000 0.0000
Fe1 Fe 0.2831 0.5000 0.6051
Se1 Se 0.5000 0.0000 0.5000
# ΔE_f (raw) (eV/atom): 0.41

No. 4
# PBE ScTaGa2, optimized geometry
data_ScTaGa2
_cell_length_a 4.1958
_cell_length_b 4.1958
_cell_length_c 3.9538
_cell_angle_alpha 90.00
_cell_angle_beta 90.00
_cell_angle_gamma 90.00
_space_group_name_H-M_alt 'P 4/m m m'
_space_group_IT_number 123
_space_group_name_Hall '-P 4 2'
loop_
_atom_site_label
_atom_site_type_symbol
_atom_site_fract_x
_atom_site_fract_y
_atom_site_fract_z
Sc1 Sc 0.0000 0.0000 0.0000
Ta1 Ta 0.5000 0.5000 0.0000
Ga1 Ga 0.0000 0.5000 0.5000
# Calculated formation energy (eV/atom): -0.263
# Energy above the most stable polymorph in this dataset (meV per atom): 0

No. 5
# PBE SrB, optimized geometry
data_SrB
_cell_length_a 3.2540
_cell_length_b 3.9445
_cell_length_c 7.7043
_cell_angle_alpha 75.17
_cell_angle_beta 89.58
_cell_angle_gamma 89.81
_space_group_name_H-M_alt 'P -1'
_space_group_IT_number 2
_space_group_name_Hall '-P 1'
loop_
_atom_site_label
_atom_site_type_symbol
_atom_site_fract_x
_atom_site_fract_y
_atom_site_fract_z
Sr1 Sr 0.2457 0.3747 0.2505
B1 B 0.2503 0.0102 0.9793
# Calculated formation energy (eV/atom): -0.020
# Energy above the most stable polymorph in this dataset (meV per atom): 0

No. 6
# PBE InSn2PdPt, optimized geometry
data_InSn2PdPt
_cell_length_a 5.1744
_cell_length_b 5.1744
_cell_length_c 5.1088
_cell_angle_alpha 90.00
_cell_angle_beta 90.00
_cell_angle_gamma 90.00
_space_group_name_H-M_alt 'P 4/m m m'
_space_group_IT_number 123
_space_group_name_Hall '-P 4 2'
loop_
_atom_site_label
_atom_site_type_symbol
_atom_site_fract_x
_atom_site_fract_y
_atom_site_fract_z
In1 In 0.0000 0.0000 0.0000
Sn1 Sn 0.0000 0.5000 0.5000
Pd1 Pd 0.5000 0.5000 0.0000
Pt1 Pt 0.0000 0.0000 0.5000
# Calculated formation energy (eV/atom): 0.188

No. 7
# PBE Pr12CdIn4N3, optimized geometry
data_Pr12CdIn4N3
_cell_length_a 10.5014
_cell_length_b 10.5014
_cell_length_c 10.5014
_cell_angle_alpha 90.00
_cell_angle_beta 90.00
_cell_angle_gamma 90.00
_space_group_name_H-M_alt 'I m -3 m'
_space_group_IT_number 229
_space_group_name_Hall '-I 4 2 3'
loop_
_atom_site_label
_atom_site_type_symbol
_atom_site_fract_x
_atom_site_fract_y
_atom_site_fract_z
Pr1 Pr 0.0000 0.0000 0.2765
Pr2 Pr 0.0000 0.2500 0.5000
Cd1 Cd 0.0000 0.0000 0.0000
In1 In 0.2500 0.2500 0.2500
N1 N 0.0000 0.0000 0.5000
# ΔE_f (raw) (eV/atom): -0.53

Number 1: magnetization 0.00 Bohr magnetons per cell, DFT total energy -80.69 eV for the cell shown. Number 2: magnetization 2.19 Bohr magnetons per cell, DFT total energy -151.52 eV for the cell shown. Number 3: magnetization 5.22 Bohr magnetons per cell, DFT total energy -19.88 eV for the cell shown. Number 4: magnetization 0.00 Bohr magnetons per cell, DFT total energy -25.29 eV for the cell shown. Number 5: magnetization 0.00 Bohr magnetons per cell, DFT total energy -16.80 eV for the cell shown. Number 6: magnetization 0.00 Bohr magnetons per cell, DFT total energy -21.04 eV for the cell shown. Number 7: magnetization 0.00 Bohr magnetons per cell, DFT total energy -209.56 eV for the cell shown.